[1]
{"formula": "LiCd2In2Ag4", "functional": "PBE", "state": "relaxed", "formation_energy_ev_per_atom": -0.080, "dos_ef_per_ev_cell": 2.0, "crystal_system": "monoclinic", "magnetic_moment_mub_per_atom": 0.00, "cell": [[6.809, -1.879, 0.000], [6.809, 1.879, 0.000], [-1.780, 0.000, 6.937]], "species": ["Li", "Cd", "Cd", "In", "In", "Ag", "Ag", "Ag", "Ag"], "fractional_positions": [[0.000, 0.000, 0.000], [0.338, 0.338, 0.993], [0.662, 0.662, 0.007], [0.113, 0.113, 0.649], [0.887, 0.887, 0.351], [0.215, 0.215, 0.332], [0.454, 0.454, 0.697], [0.546, 0.546, 0.303], [0.785, 0.785, 0.668]]}



[2]
{"formula": "PmSmTm2", "functional": "PBE", "state": "relaxed", "formation_energy_ev_per_atom": 0.024, "dos_ef_per_ev_cell": 5.9, "crystal_system": "tetragonal", "magnetic_moment_mub_per_atom": 0.00, "cell": [[3.573, 0.000, 0.000], [0.000, 3.573, 0.000], [0.000, 0.000, 10.019]], "species": ["Pm", "Sm", "Tm", "Tm"], "fractional_positions": [[0.000, 0.000, 0.000], [0.000, 0.000, 0.500], [0.500, 0.500, 0.251], [0.500, 0.500, 0.749]]}



[3]
{"formula": "AgPWCl2", "functional": "PBE", "state": "relaxed", "dos_ef_per_ev_cell": 6.9, "crystal_system": "tetragonal", "magnetic_moment_mub_per_atom": 0.65, "e_form_raw_ev_per_fu": 6.872, "cell": [[4.742, 0.000, 0.000], [0.000, 4.742, 0.000], [0.000, 0.000, 5.270]], "species": ["Ag", "P", "W", "Cl", "Cl"], "fractional_positions": [[0.000, 0.000, 0.000], [0.000, 0.000, 0.500], [0.500, 0.500, 0.500], [0.000, 0.500, 0.000], [0.500, 0.000, 0.000]]}



[4]
{"formula": "Tb5Er3Sc2", "functional": "PBE", "state": "relaxed", "formation_energy_ev_per_atom": 0.037, "dos_ef_per_ev_cell": 28.3, "crystal_system": "triclinic", "magnetic_moment_mub_per_atom": 0.00, "cell": [[9.213, 0.000, 0.000], [-2.630, 8.832, 0.000], [-2.650, -4.893, 7.346]], "species": ["Tb", "Tb", "Tb", "Tb", "Tb", "Tb", "Tb", "Tb", "Tb", "Tb", "Er", "Er", "Er", "Er", "Er", "Er", "Sc", "Sc", "Sc", "Sc"], "fractional_positions": [[0.152, 0.427, 0.474], [0.153, 0.925, 0.977], [0.250, 0.378, 0.128], [0.250, 0.873, 0.622], [0.347, 0.324, 0.773], [0.653, 0.676, 0.227], [0.750, 0.127, 0.378], [0.750, 0.622, 0.872], [0.847, 0.075, 0.023], [0.848, 0.573, 0.526], [0.052, 0.974, 0.324], [0.348, 0.823, 0.276], [0.448, 0.772, 0.923], [0.552, 0.228, 0.077], [0.652, 0.177, 0.724], [0.948, 0.026, 0.676], [0.050, 0.476, 0.829], [0.450, 0.276, 0.426], [0.550, 0.724, 0.574], [0.950, 0.524, 0.171]]}



[5]
{"formula": "TlAgO2F", "functional": "PBE", "state": "relaxed", "dos_ef_per_ev_cell": 2.8, "crystal_system": "tetragonal", "magnetic_moment_mub_per_atom": 0.11, "e_form_raw_ev_per_fu": -1.496, "cell": [[4.230, 0.000, 0.000], [0.000, 4.230, 0.000], [0.000, 0.000, 4.554]], "species": ["Tl", "Ag", "O", "O", "F"], "fractional_positions": [[0.000, 0.000, 0.000], [0.500, 0.500, 0.500], [0.000, 0.500, 0.000], [0.500, 0.000, 0.000], [0.000, 0.000, 0.500]]}



[6]
{"formula": "TcNiBr2", "functional": "PBE", "state": "relaxed", "dos_ef_per_ev_cell": 2.9, "crystal_system": "monoclinic", "magnetic_moment_mub_per_atom": 0.68, "e_form_raw_ev_per_fu": 2.288, "cell": [[4.972, 0.000, 0.000], [0.000, 3.549, 0.000], [-0.038, 0.000, 5.132]], "species": ["Tc", "Ni", "Br", "Br"], "fractional_positions": [[0.000, 0.000, 0.000], [0.000, 0.000, 0.500], [0.267, 0.500, 0.252], [0.733, 0.500, 0.748]]}



[7]
{"formula": "Ti2AgSn", "functional": "PBE", "state": "relaxed", "formation_energy_ev_per_atom": -0.162, "dos_ef_per_ev_cell": 5.4, "crystal_system": "tetragonal", "magnetic_moment_mub_per_atom": 0.00, "cell": [[4.150, 0.000, 0.000], [0.000, 4.150, 0.000], [0.000, 0.000, 4.213]], "species": ["Ti", "Ti", "Ag", "Sn"], "fractional_positions": [[0.000, 0.500, 0.000], [0.500, 0.000, 0.000], [0.000, 0.000, 0.500], [0.500, 0.500, 0.500]]}



[8]
{"formula": "Er2Tm5Co2", "functional": "PBE", "state": "relaxed", "formation_energy_ev_per_atom": -0.089, "dos_ef_per_ev_cell": 19.5, "crystal_system": "orthorhombic", "magnetic_moment_mub_per_atom": 0.00, "cell": [[9.658, -3.473, 0.000], [9.658, 3.473, 0.000], [0.000, 0.000, 6.887]], "species": ["Er", "Er", "Er", "Er", "Tm", "Tm", "Tm", "Tm", "Tm", "Tm", "Tm", "Tm", "Tm", "Tm", "Co", "Co", "Co", "Co"], "fractional_positions": [[0.232, 0.232, 0.000], [0.268, 0.268, 0.500], [0.732, 0.732, 0.500], [0.768, 0.768, 0.000], [0.000, 0.000, 0.000], [0.074, 0.713, 0.678], [0.213, 0.574, 0.178], [0.287, 0.926, 0.678], [0.426, 0.787, 0.178], [0.500, 0.500, 0.500], [0.574, 0.213, 0.822], [0.713, 0.074, 0.322], [0.787, 0.426, 0.822], [0.926, 0.287, 0.322], [0.115, 0.885, 0.389], [0.385, 0.615, 0.889], [0.615, 0.385, 0.111], [0.885, 0.115, 0.611]]}



[9]
{"formula": "LaYHo2Tm5", "functional": "PBE", "state": "relaxed", "formation_energy_ev_per_atom": 0.286, "dos_ef_per_ev_cell": 23.4, "crystal_system": "tetragonal", "magnetic_moment_mub_per_atom": 0.00, "cell": [[-4.465, 4.465, 7.268], [4.465, -4.465, 7.268], [4.465, 4.465, -7.268]], "species": ["La", "La", "Y", "Y", "Ho", "Ho", "Ho", "Ho", "Tm", "Tm", "Tm", "Tm", "Tm", "Tm", "Tm", "Tm", "Tm", "Tm"], "fractional_positions": [[0.250, 0.250, 0.000], [0.750, 0.750, 0.000], [0.250, 0.750, 0.500], [0.750, 0.250, 0.500], [0.112, 0.612, 0.724], [0.388, 0.112, 0.500], [0.612, 0.888, 0.500], [0.888, 0.388, 0.276], [0.000, 0.000, 0.000], [0.076, 0.166, 0.500], [0.166, 0.666, 0.090], [0.334, 0.424, 0.500], [0.424, 0.924, 0.090], [0.500, 0.500, 0.000], [0.576, 0.076, 0.910], [0.666, 0.576, 0.500], [0.834, 0.334, 0.910], [0.924, 0.834, 0.500]]}



[10]
{"formula": "SrLaTa", "functional": "PBE", "state": "relaxed", "formation_energy_ev_per_atom": 0.837, "dos_ef_per_ev_cell": 4.8, "crystal_system": "hexagonal", "magnetic_moment_mub_per_atom": 0.00, "cell": [[5.680, 0.000, 0.000], [-2.840, 4.919, 0.000], [0.000, 0.000, 3.056]], "species": ["Sr", "La", "Ta"], "fractional_positions": [[0.000, 0.000, 0.000], [0.333, 0.667, 0.000], [0.667, 0.333, 0.500]]}



[11]
{"formula": "YCdF2", "functional": "PBE", "state": "relaxed", "dos_ef_per_ev_cell": 5.0, "crystal_system": "tetragonal", "magnetic_moment_mub_per_atom": 0.00, "e_form_raw_ev_per_fu": -9.368, "cell": [[-2.686, 2.686, 6.773], [2.686, -2.686, 6.773], [2.686, 2.686, -6.773]], "species": ["Y", "Y", "Cd", "Cd", "F", "F", "F", "F"], "fractional_positions": [[0.000, 0.000, 0.000], [0.750, 0.250, 0.500], [0.250, 0.750, 0.500], [0.500, 0.500, 0.000], [0.375, 0.122, 0.247], [0.872, 0.625, 0.747], [0.875, 0.128, 0.753], [0.878, 0.125, 0.253]]}



[12]
{"formula": "CrReSiNi2", "functional": "PBE", "state": "relaxed", "dos_ef_per_ev_cell": 5.1, "crystal_system": "tetragonal", "magnetic_moment_mub_per_atom": 0.34, "e_form_raw_ev_per_fu": 6.593, "cell": [[4.144, 0.000, 0.000], [0.000, 4.144, 0.000], [0.000, 0.000, 4.281]], "species": ["Cr", "Re", "Si", "Ni", "Ni"], "fractional_positions": [[0.000, 0.000, 0.000], [0.500, 0.500, 0.500], [0.000, 0.000, 0.500], [0.000, 0.500, 0.000], [0.500, 0.000, 0.000]]}



[13]
{"formula": "K2Bi5Pd3", "functional": "PBE", "state": "relaxed", "formation_energy_ev_per_atom": -0.292, "dos_ef_per_ev_cell": 6.5, "crystal_system": "orthorhombic", "magnetic_moment_mub_per_atom": 0.00, "cell": [[2.387, -14.610, 0.000], [2.387, 14.610, 0.000], [0.000, 0.000, 7.794]], "species": ["K", "K", "K", "K", "Bi", "Bi", "Bi", "Bi", "Bi", "Bi", "Bi", "Bi", "Bi", "Bi", "Pd", "Pd", "Pd", "Pd", "Pd", "Pd"], "fractional_positions": [[0.022, 0.978, 0.500], [0.325, 0.675, 0.524], [0.675, 0.325, 0.024], [0.978, 0.022, 0.000], [0.098, 0.902, 0.881], [0.205, 0.795, 0.322], [0.211, 0.789, 0.736], [0.379, 0.621, 0.988], [0.448, 0.552, 0.663], [0.552, 0.448, 0.163], [0.621, 0.379, 0.488], [0.789, 0.211, 0.236], [0.795, 0.205, 0.822], [0.902, 0.098, 0.381], [0.107, 0.893, 0.247], [0.275, 0.725, 0.030], [0.441, 0.559, 0.284], [0.559, 0.441, 0.784], [0.725, 0.275, 0.530], [0.893, 0.107, 0.747]]}



[14]
{"formula": "SrAg2Cl", "functional": "PBE", "state": "relaxed", "dos_ef_per_ev_cell": 0.9, "crystal_system": "orthorhombic", "magnetic_moment_mub_per_atom": 0.00, "e_form_raw_ev_per_fu": -2.919, "cell": [[-2.041, 2.047, 6.081], [2.041, -2.047, 6.081], [2.041, 2.047, -6.081]], "species": ["Sr", "Ag", "Ag", "Cl"], "fractional_positions": [[0.000, 0.000, 0.000], [0.250, 0.750, 0.500], [0.750, 0.250, 0.500], [0.500, 0.500, 0.000]]}



[15]
{"formula": "Nd6Sm3Tl", "functional": "PBE", "state": "relaxed", "formation_energy_ev_per_atom": 0.010, "dos_ef_per_ev_cell": 27.6, "crystal_system": "monoclinic", "magnetic_moment_mub_per_atom": 0.00, "cell": [[12.514, 0.000, 0.000], [0.000, 3.658, 0.000], [-1.083, 0.000, 15.003]], "species": ["Nd", "Nd", "Nd", "Nd", "Nd", "Nd", "Nd", "Nd", "Nd", "Nd", "Nd", "Nd", "Sm", "Sm", "Sm", "Sm", "Sm", "Sm", "Tl", "Tl"], "fractional_positions": [[0.063, 0.250, 0.392], [0.120, 0.750, 0.955], [0.196, 0.250, 0.748], [0.295, 0.750, 0.313], [0.312, 0.250, 0.109], [0.387, 0.250, 0.497], [0.613, 0.750, 0.503], [0.688, 0.750, 0.891], [0.705, 0.250, 0.687], [0.804, 0.750, 0.252], [0.880, 0.250, 0.045], [0.937, 0.750, 0.608], [0.073, 0.750, 0.182], [0.399, 0.750, 0.917], [0.447, 0.750, 0.697], [0.553, 0.250, 0.303], [0.601, 0.250, 0.083], [0.927, 0.250, 0.818], [0.189, 0.750, 0.559], [0.811, 0.250, 0.441]]}



[16]
{"formula": "LaSiAs4", "functional": "PBE", "state": "relaxed", "dos_ef_per_ev_cell": 5.3, "crystal_system": "cubic", "magnetic_moment_mub_per_atom": 0.00, "e_form_raw_ev_per_fu": -0.325, "cell": [[0.000, 4.009, 4.009], [4.009, 0.000, 4.009], [4.009, 4.009, 0.000]], "species": ["La", "Si", "As", "As", "As", "As"], "fractional_positions": [[0.000, 0.000, 0.000], [0.750, 0.750, 0.750], [0.378, 0.378, 0.378], [0.378, 0.378, 0.865], [0.378, 0.865, 0.378], [0.865, 0.378, 0.378]]}



[17]
{"formula": "HfTi3N2", "functional": "PBE", "state": "relaxed", "dos_ef_per_ev_cell": 14.5, "crystal_system": "trigonal", "magnetic_moment_mub_per_atom": 0.00, "e_form_raw_ev_per_fu": -7.516, "cell": [[6.130, 0.000, 0.000], [-3.065, 5.309, 0.000], [0.000, 0.000, 4.919]], "species": ["Hf", "Hf", "Ti", "Ti", "Ti", "Ti", "Ti", "Ti", "N", "N", "N", "N"], "fractional_positions": [[0.333, 0.667, 0.229], [0.667, 0.333, 0.771], [0.165, 0.331, 0.733], [0.165, 0.835, 0.733], [0.331, 0.165, 0.267], [0.669, 0.835, 0.733], [0.835, 0.165, 0.267], [0.835, 0.669, 0.267], [0.000, 0.000, 0.500], [0.000, 0.500, 0.500], [0.500, 0.000, 0.500], [0.500, 0.500, 0.500]]}



[18]
{"formula": "Li5CuAg2", "functional": "PBE", "state": "relaxed", "formation_energy_ev_per_atom": -0.117, "dos_ef_per_ev_cell": 6.0, "crystal_system": "orthorhombic", "magnetic_moment_mub_per_atom": 0.00, "cell": [[5.654, 0.000, 0.000], [0.000, 11.249, 0.000], [0.000, 0.000, 3.954]], "species": ["Li", "Li", "Li", "Li", "Li", "Li", "Li", "Li", "Li", "Li", "Cu", "Cu", "Ag", "Ag", "Ag", "Ag"], "fractional_positions": [[0.000, 0.000, 0.000], [0.014, 0.257, 0.000], [0.229, 0.618, 0.500], [0.271, 0.118, 0.500], [0.486, 0.757, 0.000], [0.500, 0.500, 0.000], [0.514, 0.243, 0.000], [0.729, 0.882, 0.500], [0.771, 0.382, 0.500], [0.986, 0.743, 0.000], [0.000, 0.500, 0.000], [0.500, 0.000, 0.000], [0.244, 0.876, 0.500], [0.256, 0.376, 0.500], [0.744, 0.624, 0.500], [0.756, 0.124, 0.500]]}



[19]
{"formula": "HfU6Se12", "functional": "PBE", "state": "relaxed", "dos_ef_per_ev_cell": 40.2, "crystal_system": "trigonal", "magnetic_moment_mub_per_atom": 0.84, "e_form_raw_ev_per_fu": -21.269, "cell": [[6.231, 3.597, 3.867], [-6.231, 3.597, 3.867], [0.000, -7.195, 3.867]], "species": ["Hf", "U", "U", "U", "U", "U", "U", "Se", "Se", "Se", "Se", "Se", "Se", "Se", "Se", "Se", "Se", "Se", "Se"], "fractional_positions": [[0.000, 0.000, 0.000], [0.132, 0.636, 0.307], [0.307, 0.132, 0.636], [0.364, 0.693, 0.868], [0.636, 0.307, 0.132], [0.693, 0.868, 0.364], [0.868, 0.364, 0.693], [0.026, 0.678, 0.932], [0.068, 0.974, 0.322], [0.178, 0.426, 0.571], [0.322, 0.068, 0.974], [0.426, 0.571, 0.178], [0.429, 0.822, 0.574], [0.571, 0.178, 0.426], [0.574, 0.429, 0.822], [0.678, 0.932, 0.026], [0.822, 0.574, 0.429], [0.932, 0.026, 0.678], [0.974, 0.322, 0.068]]}



[20]
{"formula": "FeGe3Sb", "functional": "PBE", "state": "relaxed", "dos_ef_per_ev_cell": 4.6, "crystal_system": "cubic", "magnetic_moment_mub_per_atom": 0.01, "e_form_raw_ev_per_fu": 1.158, "cell": [[4.641, 0.000, 0.000], [0.000, 4.641, 0.000], [0.000, 0.000, 4.641]], "species": ["Fe", "Ge", "Ge", "Ge", "Sb"], "fractional_positions": [[0.000, 0.000, 0.000], [0.000, 0.000, 0.500], [0.000, 0.500, 0.000], [0.500, 0.000, 0.000], [0.500, 0.500, 0.500]]}



[21]
{"formula": "PmPrTlPd", "functional": "PBE", "state": "relaxed", "formation_energy_ev_per_atom": -0.472, "dos_ef_per_ev_cell": 4.5, "crystal_system": "cubic", "magnetic_moment_mub_per_atom": 0.00, "cell": [[0.000, 3.781, 3.781], [3.781, 0.000, 3.781], [3.781, 3.781, 0.000]], "species": ["Pm", "Pr", "Tl", "Pd"], "fractional_positions": [[0.000, 0.000, 0.000], [0.500, 0.500, 0.500], [0.250, 0.250, 0.250], [0.750, 0.750, 0.750]]}



[22]
{"formula": "Pm6Ni2Au", "functional": "PBE", "state": "relaxed", "formation_energy_ev_per_atom": -0.335, "dos_ef_per_ev_cell": 17.8, "crystal_system": "orthorhombic", "magnetic_moment_mub_per_atom": 0.00, "cell": [[-4.711, 4.979, 5.082], [4.711, -4.979, 5.082], [4.711, 4.979, -5.082]], "species": ["Pm", "Pm", "Pm", "Pm", "Pm", "Pm", "Pm", "Pm", "Pm", "Pm", "Pm", "Pm", "Ni", "Ni", "Ni", "Ni", "Au", "Au"], "fractional_positions": [[0.037, 0.231, 0.806], [0.178, 0.290, 0.468], [0.178, 0.710, 0.888], [0.327, 0.022, 0.694], [0.327, 0.633, 0.306], [0.424, 0.231, 0.194], [0.576, 0.769, 0.806], [0.673, 0.367, 0.694], [0.673, 0.978, 0.306], [0.822, 0.290, 0.112], [0.822, 0.710, 0.532], [0.963, 0.769, 0.194], [0.123, 0.623, 0.500], [0.357, 0.000, 0.357], [0.643, 0.000, 0.643], [0.877, 0.377, 0.500], [0.000, 0.000, 0.000], [0.500, 0.500, 0.000]]}